{
  "formula": "Na2Cd2Ge",
  "functional": "PBE",
  "state": "relaxed",
  "final_energy_ev_per_atom": -1.63,
  "lattice_angstrom": [[-1.446, 1.099, -7.753], [7.439, -2.269, -1.709], [-1.215, -3.753, -0.305]],
  "species": ["Na", "Na", "Na", "Na", "Ge", "Ge", "Cd", "Cd", "Cd", "Cd"],
  "fractional_positions": [[0.348, 0.848, 0.000], [0.848, 0.652, 0.000], [0.652, 0.152, 0.000], [0.152, 0.348, 0.000], [0.000, 0.000, 0.000], [0.500, 0.500, 0.000], [0.147, 0.647, 0.500], [0.647, 0.853, 0.500], [0.853, 0.353, 0.500], [0.353, 0.147, 0.500]]
}